SrVO3 (GGA+U, relaxed); energy = -7.19 eV/atom; magnetic moment = 2.00 μB per cell
1.0
1.739 -6.792 0.000
1.739 6.792 0.000
0.000 0.000 6.393
Sr V O
2 2 6
direct
0.175 0.825 0.750
0.825 0.175 0.250
0.424 0.576 0.750
0.576 0.424 0.250
0.017 0.983 0.250
0.346 0.654 0.527
0.346 0.654 0.973
0.654 0.346 0.027
0.654 0.346 0.473
0.983 0.017 0.750